[1]
LaSi3Ru3: optimized geometry, PBE.

a = 6.5135 Å, b = 6.5135 Å, c = 6.5135 Å
α = 90.00°, β = 90.00°, γ = 90.00°
Last column: nearest neighbours and their distance in Å.
Atoms (fractional coordinates):
La 0.0000 0.0000 0.0000  12 Ru 3.64, 12 Si 3.64
La 0.5000 0.5000 0.5000  12 Ru 3.64, 12 Si 3.64
Si 0.0000 0.2500 0.5000  4 Ru 2.30
Si 0.0000 0.7500 0.5000  4 Ru 2.30
Si 0.2500 0.5000 0.0000  4 Ru 2.30
Si 0.5000 0.0000 0.2500  4 Ru 2.30
Si 0.5000 0.0000 0.7500  4 Ru 2.30
Si 0.7500 0.5000 0.0000  4 Ru 2.30
Ru 0.0000 0.5000 0.2500  4 Si 2.30
Ru 0.0000 0.5000 0.7500  4 Si 2.30
Ru 0.2500 0.0000 0.5000  4 Si 2.30
Ru 0.5000 0.2500 0.0000  4 Si 2.30
Ru 0.5000 0.7500 0.0000  4 Si 2.30
Ru 0.7500 0.0000 0.5000  4 Si 2.30

Values from the calculation:
Formation energy (no corrections): -318 meV/atom
Energy above the most stable polymorph in this dataset: 0.044 eV/atom
E: -102.505 eV per cell

***

[2]
PmNpAlO6: optimized geometry, PBE.

a = 5.2683 Å, b = 5.2683 Å, c = 5.0907 Å
α = 90.00°, β = 90.00°, γ = 120.00°
Last column: nearest neighbours and their distance in Å.
Atoms (fractional coordinates):
Pm 0.0000 0.0000 0.0000  6 O 2.39
Np 0.3333 0.6667 0.5000  6 O 2.08
Al 0.6667 0.3333 0.5000  6 O 1.95
O 0.3692 0.0187 0.7136  1 Al 1.95, 1 Np 2.08
O 0.3692 0.3506 0.2864  1 Al 1.95, 1 Np 2.08
O 0.6494 0.0187 0.2864  1 Al 1.95, 1 Np 2.08
O 0.6494 0.6308 0.7136  1 Al 1.95, 1 Np 2.08
O 0.9813 0.3506 0.7136  1 Al 1.95, 1 Np 2.08
O 0.9813 0.6308 0.2864  1 Al 1.95, 1 Np 2.08

Values from the calculation:
Formation energy (no corrections): -3009 meV/atom
E: -78.266 eV per cell

***

[3]
Tb7IrSe5: optimized geometry, PBE.

a = 7.0472 Å, b = 7.0472 Å, c = 24.5253 Å
α = 90.00°, β = 90.00°, γ = 147.27°
Last column: nearest neighbours and their distance in Å.
Atoms (fractional coordinates):
Tb 0.0463 0.9537 0.5000  2 Ir 2.81, 2 Se 2.95-2.97
Tb 0.1298 0.8702 0.2166  6 Se 2.85-2.88
Tb 0.1493 0.8507 0.7904  6 Se 2.84-2.92
Tb 0.2868 0.7132 0.4333  3 Se 2.86-2.96, 2 Ir 3.06
Tb 0.3052 0.6948 0.5689  2 Ir 2.87, 3 Se 2.91-2.99
Tb 0.3945 0.6055 0.1255  4 Se 2.89-2.93, 1 Ir 3.01
Tb 0.4245 0.5755 0.8620  5 Se 2.86-3.01
Tb 0.5755 0.4245 0.3620  5 Se 2.86-3.01
Tb 0.6055 0.3945 0.6255  4 Se 2.89-2.93, 1 Ir 3.01
Tb 0.6948 0.3052 0.0689  2 Ir 2.87, 3 Se 2.91-2.99
Tb 0.7132 0.2868 0.9333  3 Se 2.86-2.96, 2 Ir 3.06
Tb 0.8507 0.1493 0.2904  6 Se 2.84-2.92
Tb 0.8702 0.1298 0.7166  6 Se 2.85-2.88
Tb 0.9537 0.0463 0.0000  2 Ir 2.81, 2 Se 2.95-2.97
Ir 0.3084 0.6916 0.0122  7 Tb 2.81-3.06
Ir 0.6916 0.3084 0.5122  7 Tb 2.81-3.06
Se 0.0472 0.9528 0.1095  6 Tb 2.85-2.99
Se 0.0649 0.9351 0.8964  6 Tb 2.84-2.96
Se 0.2116 0.7884 0.3241  6 Tb 2.86
Se 0.2304 0.7696 0.6801  6 Tb 2.88-2.93
Se 0.4871 0.5129 0.2492  5 Tb 2.88-3.01
Se 0.5129 0.4871 0.7492  5 Tb 2.88-3.01
Se 0.7696 0.2304 0.1801  6 Tb 2.88-2.93
Se 0.7884 0.2116 0.8241  6 Tb 2.86
Se 0.9351 0.0649 0.3964  6 Tb 2.84-2.96
Se 0.9528 0.0472 0.6095  6 Tb 2.85-2.99

Values from the calculation:
Formation energy (no corrections): -1516 meV/atom
E: -156.797 eV per cell

***

[4]
Sc5PaAs6: optimized geometry, PBE.

a = 6.7927 Å, b = 6.7927 Å, c = 6.7926 Å
α = 99.60°, β = 99.60°, γ = 120.02°
Last column: nearest neighbours and their distance in Å.
Atoms (fractional coordinates):
Sc 0.0000 0.0000 0.0000  6 As 2.73-2.77
Sc 0.1669 0.8331 0.5000  6 As 2.77-2.78
Sc 0.3348 0.6652 0.0000  6 As 2.73-2.77
Sc 0.6652 0.3348 0.0000  6 As 2.73-2.77
Sc 0.8331 0.1669 0.5000  6 As 2.77-2.78
Pa 0.5000 0.5000 0.5000  6 As 2.81-2.82
As 0.0760 0.4151 0.2447  5 Sc 2.73-2.78, 1 Pa 2.82
As 0.2449 0.2449 0.7523  5 Sc 2.73-2.77, 1 Pa 2.81
As 0.4151 0.0760 0.2447  5 Sc 2.73-2.78, 1 Pa 2.82
As 0.5849 0.9240 0.7553  5 Sc 2.73-2.78, 1 Pa 2.82
As 0.7551 0.7551 0.2477  5 Sc 2.73-2.77, 1 Pa 2.81
As 0.9240 0.5849 0.7553  5 Sc 2.73-2.78, 1 Pa 2.82

Values from the calculation:
Formation energy: -1.331 eV per atom
E: -85.019 eV per cell

***

[5]
YZrBr2: optimized geometry, PBE.

a = 3.5083 Å, b = 5.3505 Å, c = 5.4330 Å
α = 90.00°, β = 102.98°, γ = 90.00°
Last column: nearest neighbours and their distance in Å.
Atoms (fractional coordinates):
Y 0.0000 0.0000 0.0000  3 Br 2.89-3.01
Zr 0.5655 0.5000 0.2734  5 Br 2.82-3.07
Br 0.2261 0.5000 0.7009  3 Zr 2.84-3.07
Br 0.6384 0.0000 0.4426  2 Zr 2.82, 3 Y 2.89-3.01

Values from the calculation:
Formation energy (no corrections): -641 meV/atom
Energy above the most stable polymorph in this dataset: 0.419 eV/atom
E: -20.923 eV per cell

***

[6]
CaNb3In: optimized geometry, PBE.

a = 4.7989 Å, b = 4.7989 Å, c = 4.7989 Å
α = 90.00°, β = 90.00°, γ = 90.00°
Last column: nearest neighbours and their distance in Å.
Atoms (fractional coordinates):
Ca 0.0000 0.0000 0.0000  6 Nb 2.40
Nb 0.0000 0.0000 0.5000  2 Ca 2.40
Nb 0.0000 0.5000 0.0000  2 Ca 2.40
Nb 0.5000 0.0000 0.0000  2 Ca 2.40
In 0.5000 0.5000 0.5000  12 Nb 3.39

Values from the calculation:
Formation energy: 1.981 eV per atom
Energy above the most stable polymorph in this dataset: 0.444 eV/atom
E: -25.042 eV per cell